Below is a relaxed structure of MnGa2S4, with properties calculated at the PBE level.

- Energy: -5.20 eV per atom
- Uncorrected formation energy: -0.6660 eV/atom
- Size of the total moment: 10.000 μB/cell

abc: 5.468 5.468 10.406
angles: 90.00 90.00 90.00
Space group I-4 (No. 82)
Unique sites:
Mn  0.000  0.000  0.000 [2 per cell]
Ga  0.000  0.000  0.500 [2 per cell]
Ga  0.000  0.500  0.250 [2 per cell]
S  0.241  0.243  0.630 [8 per cell]